# TcAgHg2, optimized geometry, DFT GGA-PBE
data_TcAgHg2
_chemical_formula_sum 'Tc1 Ag1 Hg2'
_cell_length_a 4.759
_cell_length_b 4.759
_cell_length_c 4.759
_cell_angle_alpha 60.00
_cell_angle_beta 60.00
_cell_angle_gamma 60.00
_space_group_name_H-M_alt 'P 1'
_space_group_IT_number 1
loop_
_space_group_symop_operation_xyz
'x,y,z'
loop_
_atom_site_label
_atom_site_fract_x
_atom_site_fract_y
_atom_site_fract_z
Ag1 0.500 0.500 0.500
Tc1 0.000 0.000 0.000
Hg1 0.250 0.250 0.250
Hg2 0.750 0.750 0.750
# ΔE_f in kcal/mol of atoms: 13.45
# Space group: Fm-3m (225)
# E above lowest polymorph in eV per atom: 0.152
# Total magnetization in μB/atom: 0.5206
# Energy in eV per atom: -2.872
# DOS at the Fermi energy in states/eV/atom: 0.83